[1]
Below is a geometry-optimized CoCuPt4 structure, with properties calculated at the PBE level.

abc: 12.515 7.110 4.434
angles: 90.00 110.51 90.00
Space group C2/m (No. 12)
Inequivalent atoms, fractional coordinates:
Co1 0.000 0.000 0.243 [4 per cell]
Cu1 0.185 0.500 0.688 [4 per cell]
Pt1 0.000 0.313 0.500 [4 per cell]
Pt2 0.141 0.241 0.140 [8 per cell]
Pt3 0.193 0.000 0.691 [4 per cell]

Computed properties:
Total DFT energy (no corrections) ... -34.607 eV/f.u.
Crystal system ... monoclinic
DFT formation energy ... 126 meV/atom

[2]
Below is a geometry-optimized KVHg2Mo structure, with properties calculated at the PBE level.

abc: 5.316 5.316 4.714
angles: 90.00 90.00 90.00
Space group P4/mmm (No. 123)
Inequivalent atoms, fractional coordinates:
K1 0.000 0.000 0.000 [1 per cell]
V1 0.000 0.000 0.500 [1 per cell]
Hg1 0.000 0.500 0.000 [2 per cell]
Mo1 0.500 0.500 0.500 [1 per cell]

Computed properties:
Total DFT energy (no corrections) ... -10.082 eV/f.u.
Crystal system ... tetragonal
DFT formation energy ... 2314 meV/atom

[3]
Below is a geometry-optimized LiZn4Au2 structure, with properties calculated at the PBE level.

abc: 7.427 7.427 4.374
angles: 90.00 90.00 90.00
Space group P4_2/mnm (No. 136)
Inequivalent atoms, fractional coordinates:
Li1 0.000 0.000 0.000 [2 per cell]
Zn1 0.116 0.370 0.500 [8 per cell]
Au1 0.206 0.794 0.500 [4 per cell]

Computed properties:
Total DFT energy (no corrections) ... -15.311 eV/f.u.
Crystal system ... tetragonal
DFT formation energy ... -249 meV/atom

[4]
Below is a geometry-optimized Ba5LiZn4 structure, with properties calculated at the PBE level.

abc: 4.131 4.131 21.213
angles: 90.00 90.00 90.00
Space group P4/mmm (No. 123)
Inequivalent atoms, fractional coordinates:
Ba1 0.000 0.000 0.000 [1 per cell]
Ba2 0.000 0.000 0.194 [2 per cell]
Ba3 0.000 0.000 0.384 [2 per cell]
Li1 0.500 0.500 0.500 [1 per cell]
Zn1 0.500 0.500 0.096 [2 per cell]
Zn2 0.500 0.500 0.293 [2 per cell]

Computed properties:
Total DFT energy (no corrections) ... -17.869 eV/f.u.
Crystal system ... tetragonal
DFT formation energy ... -125 meV/atom

[5]
Below is a geometry-optimized Sb7Rh6 structure, with properties calculated at the PBE level.

abc: 6.1894 6.1894 26.0005
angles: 90.00 90.00 120.00
Space group R-3m (No. 166, hexagonal axes)
Inequivalent atoms, fractional coordinates:
Sb1 0.0000 0.0000 0.0000 [3 per cell]
Sb2 0.0110 0.5055 0.4235 [18 per cell]
Rh1 0.0000 0.0000 0.1643 [6 per cell]
Rh2 0.0000 0.0000 0.3211 [6 per cell]
Rh3 0.0000 0.0000 0.4487 [6 per cell]

Computed properties:
Formation energy from raw total energies ... 428 meV per atom
Total DFT energy (no corrections) ... -67.405 eV/f.u.
Crystal system ... trigonal